## Nd2UBeRh6 (PBE)

Data for crystalline Nd2UBeRh6 at its relaxed geometry.

Computed properties:
**Size of the total moment**: 0.0 μB/cell
**Energy of formation from the pure elements**: -0.41 eV/atom
**Crystal system**: cubic
**E**: -7.273 eV per atom
**Symmetry**: Fm-3m (225)

The structure in POSCAR format:
```
Nd2UBeRh6
1.0
0.0000 4.5856 4.5856
4.5856 0.0000 4.5856
4.5856 4.5856 0.0000
Nd U Be Rh
2 1 1 6
direct
0.2500 0.2500 0.2500
0.7500 0.7500 0.7500
0.0000 0.0000 0.0000
0.5000 0.5000 0.5000
0.2667 0.2667 0.7333
0.2667 0.7333 0.2667
0.2667 0.7333 0.7333
0.7333 0.2667 0.2667
0.7333 0.2667 0.7333
0.7333 0.7333 0.2667
```


## K3Nd2HfTe6 (PBE)

Data for crystalline K3Nd2HfTe6 at its relaxed geometry.

Computed properties:
**Size of the total moment**: 0.0 μB/cell
**Crystal system**: monoclinic
**E**: -4.685 eV per atom
**Symmetry**: C2/m (12)

The structure in POSCAR format:
```
K3Nd2HfTe6
1.0
3.8639 -6.6954 0.0000
3.8639 6.6954 0.0000
-2.5943 0.0000 8.2949
K Nd Hf Te
3 2 1 6
direct
0.0000 0.0000 0.0000
0.3265 0.6735 0.0000
0.6735 0.3265 0.0000
0.1657 0.8343 0.5000
0.8343 0.1657 0.5000
0.5000 0.5000 0.5000
0.1194 0.4303 0.2904
0.2612 0.2612 0.7114
0.4303 0.1194 0.2904
0.5697 0.8806 0.7096
0.7388 0.7388 0.2886
0.8806 0.5697 0.7096
```


## LaSc2Sb (PBE)

Data for crystalline LaSc2Sb at its relaxed geometry.

Computed properties:
**Size of the total moment**: 0.0 μB/cell
**Crystal system**: trigonal
**E**: -5.636 eV per atom
**Symmetry**: R-3m (166)

The structure in POSCAR format:
```
LaSc2Sb
1.0
3.4905 0.0000 0.0000
-1.7452 3.0229 0.0000
0.0000 0.0000 30.6706
La Sc Sb
3 6 3
direct
0.0000 0.0000 0.0000
0.3333 0.6667 0.6667
0.6667 0.3333 0.3333
0.0000 0.0000 0.2413
0.0000 0.0000 0.7587
0.3333 0.6667 0.4253
0.3333 0.6667 0.9080
0.6667 0.3333 0.0920
0.6667 0.3333 0.5747
0.0000 0.0000 0.5000
0.3333 0.6667 0.1667
0.6667 0.3333 0.8333
```


## PdRu2W2 (PBE)

Data for crystalline PdRu2W2 at its relaxed geometry.

Computed properties:
**Size of the total moment**: 0.0 μB/cell
**Energy of formation from the pure elements**: 0.14 eV/atom
**Crystal system**: tetragonal
**E**: -9.795 eV per atom
**Symmetry**: P4/mbm (127)

The structure in POSCAR format:
```
PdRu2W2
1.0
7.3997 0.0000 0.0000
0.0000 7.3997 0.0000
0.0000 0.0000 2.8831
Pd Ru W
2 4 4
direct
0.0000 0.0000 0.0000
0.5000 0.5000 0.0000
0.1354 0.3646 0.0000
0.3646 0.8646 0.0000
0.6354 0.1354 0.0000
0.8646 0.6354 0.0000
0.1628 0.6628 0.5000
0.3372 0.1628 0.5000
0.6628 0.8372 0.5000
0.8372 0.3372 0.5000
```


## LiCrIr2 (PBE)

Data for crystalline LiCrIr2 at its relaxed geometry.

Computed properties:
**Size of the total moment**: 1.3 μB/cell
**Energy of formation from the pure elements**: -0.09 eV/atom
**Crystal system**: tetragonal
**E**: -7.410 eV per atom
**Symmetry**: P4/mmm (123)

The structure in POSCAR format:
```
LiCrIr2
1.0
4.2065 0.0000 0.0000
0.0000 4.2065 0.0000
0.0000 0.0000 2.9083
Li Cr Ir
1 1 2
direct
0.0000 0.0000 0.0000
0.5000 0.5000 0.0000
0.0000 0.5000 0.5000
0.5000 0.0000 0.5000
```


## FeAs (PBE)

Data for crystalline FeAs at its relaxed geometry.

Computed properties:
**Size of the total moment**: 2.5 μB/cell
**Energy of formation from the pure elements**: 0.01 eV/atom
**Crystal system**: tetragonal
**E**: -6.550 eV per atom
**Symmetry**: P4/nmm (129)

The structure in POSCAR format:
```
FeAs
1.0
3.4942 0.0000 0.0000
0.0000 3.4942 0.0000
0.0000 0.0000 5.8959
Fe As
2 2
direct
0.2500 0.7500 0.0000
0.7500 0.2500 0.0000
0.2500 0.2500 0.2742
0.7500 0.7500 0.7258
```


## KVPbCl6 (PBE)

Data for crystalline KVPbCl6 at its relaxed geometry.

Computed properties:
**Size of the total moment**: 2.0 μB/cell
**Crystal system**: trigonal
**E**: -4.149 eV per atom
**Symmetry**: P312 (149)

The structure in POSCAR format:
```
KVPbCl6
1.0
7.0191 0.0000 0.0000
-3.5095 6.0787 0.0000
0.0000 0.0000 6.6222
K V Pb Cl
1 1 1 6
direct
0.0000 0.0000 0.0000
0.6667 0.3333 0.5000
0.3333 0.6667 0.5000
0.3920 0.0518 0.7124
0.3920 0.3402 0.2876
0.6598 0.0518 0.2876
0.6598 0.6080 0.7124
0.9482 0.3402 0.7124
0.9482 0.6080 0.2876
```


## Pm2Sn4HgPd3 (PBE)

Data for crystalline Pm2Sn4HgPd3 at its relaxed geometry.

Computed properties:
**Size of the total moment**: 0.0 μB/cell
**Energy of formation from the pure elements**: -0.63 eV/atom
**Crystal system**: tetragonal
**E**: -4.769 eV per atom
**Symmetry**: P-4m2 (115)

The structure in POSCAR format:
```
Pm2Sn4HgPd3
1.0
4.5063 0.0000 0.0000
0.0000 4.5063 0.0000
0.0000 0.0000 11.4482
Pm Sn Hg Pd
2 4 1 3
direct
0.0000 0.5000 0.2488
0.5000 0.0000 0.7512
0.0000 0.0000 0.5000
0.0000 0.5000 0.8551
0.5000 0.0000 0.1449
0.5000 0.5000 0.5000
0.5000 0.5000 0.0000
0.0000 0.0000 0.0000
0.0000 0.5000 0.6297
0.5000 0.0000 0.3703
```


## K3LaBi2S6 (PBE)

Data for crystalline K3LaBi2S6 at its relaxed geometry.

Computed properties:
**Size of the total moment**: 0.0 μB/cell
**Crystal system**: monoclinic
**E**: -4.575 eV per atom
**Symmetry**: C2/m (12)

The structure in POSCAR format:
```
K3LaBi2S6
1.0
3.6398 -6.3038 0.0000
3.6398 6.3038 0.0000
-2.4243 0.0000 7.4148
K La Bi S
3 1 2 6
direct
0.0000 0.0000 0.0000
0.3318 0.6682 0.0000
0.6682 0.3318 0.0000
0.5000 0.5000 0.5000
0.1665 0.8335 0.5000
0.8335 0.1665 0.5000
0.0929 0.4302 0.2903
0.2328 0.2328 0.7104
0.4302 0.0929 0.2903
0.5698 0.9071 0.7097
0.7672 0.7672 0.2896
0.9071 0.5698 0.7097
```


## Ti2NbReRh (PBE)

Data for crystalline Ti2NbReRh at its relaxed geometry.

Computed properties:
**Energy relative to the lowest polymorph listed for this composition**: 0.000 eV/atom
**Size of the total moment**: 0.8 μB/cell
**Energy of formation from the pure elements**: 0.93 eV/atom
**Crystal system**: tetragonal
**E**: -8.200 eV per atom
**Symmetry**: P4/mmm (123)

The structure in POSCAR format:
```
Ti2NbReRh
1.0
4.6667 0.0000 0.0000
0.0000 4.6667 0.0000
0.0000 0.0000 4.6877
Ti Nb Re Rh
2 1 1 1
direct
0.0000 0.5000 0.0000
0.5000 0.0000 0.0000
0.0000 0.0000 0.5000
0.5000 0.5000 0.0000
0.5000 0.5000 0.5000
```


## HoIrRhO6 (PBE)

Data for crystalline HoIrRhO6 at its relaxed geometry.

Computed properties:
**Size of the total moment**: 3.0 μB/cell
**Crystal system**: trigonal
**E**: -6.960 eV per atom
**Symmetry**: P-31c (163)

The structure in POSCAR format:
```
HoIrRhO6
1.0
5.3271 0.0000 0.0000
-2.6636 4.6134 0.0000
0.0000 0.0000 8.5970
Ho Ir Rh O
2 2 2 12
direct
0.3333 0.6667 0.2500
0.6667 0.3333 0.7500
0.3333 0.6667 0.7500
0.6667 0.3333 0.2500
0.0000 0.0000 0.0000
0.0000 0.0000 0.5000
0.0322 0.3496 0.6196
0.0322 0.6826 0.8804
0.3174 0.3496 0.8804
0.3174 0.9678 0.6196
0.3496 0.0322 0.1196
0.3496 0.3174 0.3804
0.6504 0.6826 0.6196
0.6504 0.9678 0.8804
0.6826 0.0322 0.3804
0.6826 0.6504 0.1196
0.9678 0.3174 0.1196
0.9678 0.6504 0.3804
```


## Sc2AlCo (PBE)

Data for crystalline Sc2AlCo at its relaxed geometry.

Computed properties:
**Size of the total moment**: 0.0 μB/cell
**Energy of formation from the pure elements**: -0.28 eV/atom
**Crystal system**: cubic
**E**: -6.157 eV per atom
**Symmetry**: F-43m (216)

The structure in POSCAR format:
```
Sc2AlCo
1.0
6.4094 0.0000 0.0000
0.0000 6.4094 0.0000
0.0000 0.0000 6.4094
Sc Al Co
8 4 4
direct
0.0000 0.0000 0.0000
0.0000 0.5000 0.5000
0.2500 0.2500 0.2500
0.2500 0.7500 0.7500
0.5000 0.0000 0.5000
0.5000 0.5000 0.0000
0.7500 0.2500 0.7500
0.7500 0.7500 0.2500
0.0000 0.0000 0.5000
0.0000 0.5000 0.0000
0.5000 0.0000 0.0000
0.5000 0.5000 0.5000
0.2500 0.2500 0.7500
0.2500 0.7500 0.2500
0.7500 0.2500 0.2500
0.7500 0.7500 0.7500
```


## SrIn15Bi4 (PBE)

Data for crystalline SrIn15Bi4 at its relaxed geometry.

Computed properties:
**Size of the total moment**: 0.0 μB/cell
**Energy of formation from the pure elements**: -0.04 eV/atom
**Crystal system**: tetragonal
**E**: -2.956 eV per atom
**Symmetry**: P4/mmm (123)

The structure in POSCAR format:
```
SrIn15Bi4
1.0
5.1510 0.0000 0.0000
0.0000 5.1510 0.0000
0.0000 0.0000 21.9600
Sr In Bi
1 15 4
direct
0.0000 0.0000 0.0000
0.0000 0.5000 0.1027
0.0000 0.5000 0.2990
0.0000 0.5000 0.5000
0.0000 0.5000 0.7010
0.0000 0.5000 0.8973
0.5000 0.0000 0.1027
0.5000 0.0000 0.2990
0.5000 0.0000 0.5000
0.5000 0.0000 0.7010
0.5000 0.0000 0.8973
0.5000 0.5000 0.0000
0.5000 0.5000 0.2052
0.5000 0.5000 0.4027
0.5000 0.5000 0.5973
0.5000 0.5000 0.7948
0.0000 0.0000 0.1897
0.0000 0.0000 0.3968
0.0000 0.0000 0.6032
0.0000 0.0000 0.8103
```


## Pm2P3Pd5 (PBE)

Data for crystalline Pm2P3Pd5 at its relaxed geometry.

Computed properties:
**Size of the total moment**: 0.0 μB/cell
**Energy of formation from the pure elements**: -0.88 eV/atom
**Crystal system**: orthorhombic
**E**: -6.052 eV per atom
**Symmetry**: Cmc2_1 (36)

The structure in POSCAR format:
```
Pm2P3Pd5
1.0
2.1116 -11.8476 0.0000
2.1116 11.8476 0.0000
0.0000 0.0000 7.0629
Pm P Pd
4 6 10
direct
0.0241 0.9759 0.5000
0.3252 0.6748 0.4710
0.6748 0.3252 0.9710
0.9759 0.0241 0.0000
0.1074 0.8926 0.8061
0.2728 0.7272 0.9225
0.4540 0.5460 0.7102
0.5460 0.4540 0.2102
0.7272 0.2728 0.4225
0.8926 0.1074 0.3061
0.0992 0.9008 0.1571
0.1926 0.8074 0.6100
0.2265 0.7735 0.2272
0.3718 0.6282 0.9197
0.4449 0.5551 0.3011
0.5551 0.4449 0.8011
0.6282 0.3718 0.4197
0.7735 0.2265 0.7272
0.8074 0.1926 0.1100
0.9008 0.0992 0.6571
```